Model P:
# PBE-GGA SrPmAgHg, relaxed
# - Calculated volume: 28.88 Å³/atom
# - Mass density: 7.776 g cm⁻³
# - Total magnetic moment: 0.0 μB/f.u.
data_SrPmAgHg
_cell_length_a 3.858
_cell_length_b 3.858
_cell_length_c 7.761
_cell_angle_alpha 90.00
_cell_angle_beta 90.00
_cell_angle_gamma 90.00
_symmetry_space_group_name_H-M 'P 4 m m'
_symmetry_Int_Tables_number 99
loop_
_symmetry_equiv_pos_as_xyz
'x,y,z'
'-y,x,z'
'-x,-y,z'
'y,-x,z'
'-x,y,z'
'y,x,z'
'x,-y,z'
'-y,-x,z'
loop_
_atom_site_label
_atom_site_type_symbol
_atom_site_fract_x
_atom_site_fract_y
_atom_site_fract_z
_atom_site_occupancy
Sr1 Sr 0.000 0.000 0.000 1
Pm1 Pm 0.000 0.000 0.491 1
Ag1 Ag 0.500 0.500 0.276 1
Hg1 Hg 0.500 0.500 0.722 1



Model Q:
# PBE-GGA SrPmAgHg, relaxed
# - Calculated volume: 28.54 Å³/atom
# - Mass density: 7.870 g cm⁻³
# - Total magnetic moment: 0.0 μB/f.u.
data_SrPmAgHg
_cell_length_a 7.701
_cell_length_b 7.701
_cell_length_c 7.701
_cell_angle_alpha 90.00
_cell_angle_beta 90.00
_cell_angle_gamma 90.00
_symmetry_space_group_name_H-M 'F -4 3 m'
_symmetry_Int_Tables_number 216
_symmetry_space_group_name_Hall 'F -4 2 3'
loop_
_atom_site_label
_atom_site_type_symbol
_atom_site_fract_x
_atom_site_fract_y
_atom_site_fract_z
_atom_site_occupancy
Sr1 Sr 0.000 0.000 0.000 1
Pm1 Pm 0.000 0.000 0.500 1
Ag1 Ag 0.250 0.250 0.750 1
Hg1 Hg 0.250 0.250 0.250 1



Name the least stable of them. model Q.



Model P:
# PBE-GGA PrAgHg6, relaxed
# - Calculated volume: 25.25 Å³/atom
# - Mass density: 11.938 g cm⁻³
# - Total magnetic moment: 0.0 μB/f.u.
data_PrAgHg6
_cell_length_a 5.032
_cell_length_b 7.217
_cell_length_c 11.125
_cell_angle_alpha 90.00
_cell_angle_beta 90.00
_cell_angle_gamma 90.00
_symmetry_space_group_name_H-M 'A m m 2'
_symmetry_Int_Tables_number 38
loop_
_symmetry_equiv_pos_as_xyz
'x,y,z'
'-x,-y,z'
'-x,y,z'
'x,-y,z'
'x,y+1/2,z+1/2'
'-x,-y+1/2,z+1/2'
'-x,y+1/2,z+1/2'
'x,-y+1/2,z+1/2'
loop_
_atom_site_label
_atom_site_type_symbol
_atom_site_fract_x
_atom_site_fract_y
_atom_site_fract_z
_atom_site_occupancy
Pr1 Pr 0.000 0.000 0.000 1
Ag1 Ag 0.500 0.000 0.220 1
Hg1 Hg 0.000 0.000 0.499 1
Hg2 Hg 0.000 0.233 0.256 1
Hg3 Hg 0.500 0.000 0.798 1
Hg4 Hg 0.500 0.217 0.527 1



Model Q:
# PBE-GGA PrAgHg6, relaxed
# - Calculated volume: 28.92 Å³/atom
# - Mass density: 10.423 g cm⁻³
# - Total magnetic moment: 0.0 μB/f.u.
data_PrAgHg6
_cell_length_a 8.7215
_cell_length_b 8.7215
_cell_length_c 10.5368
_cell_angle_alpha 90.00
_cell_angle_beta 90.00
_cell_angle_gamma 120.00
_symmetry_space_group_name_H-M 'R -3 m'
_symmetry_Int_Tables_number 166
_symmetry_space_group_name_Hall '-R 3 2"'
loop_
_atom_site_label
_atom_site_type_symbol
_atom_site_fract_x
_atom_site_fract_y
_atom_site_fract_z
_atom_site_occupancy
Pr1 Pr 0.0000 0.0000 0.0000 1
Ag1 Ag 0.0000 0.0000 0.5000 1
Hg1 Hg 0.0879 0.5439 0.3719 1



Name the least stable of them. model Q.



Model P:
# PBE-GGA Pr8AgHg2, relaxed
# - Calculated volume: 32.15 Å³/atom
# - Mass density: 7.683 g cm⁻³
# - Total magnetic moment: 0.0 μB/f.u.
data_Pr8AgHg2
_cell_length_a 18.953
_cell_length_b 5.359
_cell_length_c 7.187
_cell_angle_alpha 90.00
_cell_angle_beta 104.29
_cell_angle_gamma 90.00
_symmetry_space_group_name_H-M 'C 1 2/m 1'
_symmetry_Int_Tables_number 12
loop_
_symmetry_equiv_pos_as_xyz
'x,y,z'
'-x,-y,-z'
'-x,y,-z'
'x,-y,z'
'x+1/2,y+1/2,z'
'-x+1/2,-y+1/2,-z'
'-x+1/2,y+1/2,-z'
'x+1/2,-y+1/2,z'
loop_
_atom_site_label
_atom_site_type_symbol
_atom_site_fract_x
_atom_site_fract_y
_atom_site_fract_z
_atom_site_occupancy
Pr1 Pr 0.021 0.000 0.267 1
Pr2 Pr 0.090 0.500 0.959 1
Pr3 Pr 0.162 0.500 0.473 1
Pr4 Pr 0.200 0.000 0.813 1
Ag1 Ag 0.000 0.500 0.500 1
Hg1 Hg 0.185 0.000 0.233 1



Model Q:
# PBE-GGA Pr8AgHg2, relaxed
# - Calculated volume: 31.90 Å³/atom
# - Mass density: 7.743 g cm⁻³
# - Total magnetic moment: 0.0 μB/f.u.
data_Pr8AgHg2
_cell_length_a 18.504
_cell_length_b 5.534
_cell_length_c 6.858
_cell_angle_alpha 90.00
_cell_angle_beta 92.16
_cell_angle_gamma 90.00
_symmetry_space_group_name_H-M 'C 1 2/m 1'
_symmetry_Int_Tables_number 12
loop_
_symmetry_equiv_pos_as_xyz
'x,y,z'
'-x,-y,-z'
'-x,y,-z'
'x,-y,z'
'x+1/2,y+1/2,z'
'-x+1/2,-y+1/2,-z'
'-x+1/2,y+1/2,-z'
'x+1/2,-y+1/2,z'
loop_
_atom_site_label
_atom_site_type_symbol
_atom_site_fract_x
_atom_site_fract_y
_atom_site_fract_z
_atom_site_occupancy
Pr1 Pr 0.032 0.000 0.261 1
Pr2 Pr 0.092 0.500 0.911 1
Pr3 Pr 0.173 0.500 0.409 1
Pr4 Pr 0.210 0.000 0.085 1
Ag1 Ag 0.000 0.500 0.500 1
Hg1 Hg 0.151 0.000 0.642 1



Name the least stable of them. model P.



Model P:
# PBE-GGA Pr6AgHg, relaxed
# - Calculated volume: 34.43 Å³/atom
# - Mass density: 6.957 g cm⁻³
# - Total magnetic moment: 0.8 μB/f.u.
data_Pr6AgHg
_cell_length_a 7.087
_cell_length_b 12.550
_cell_length_c 7.099
_cell_angle_alpha 90.00
_cell_angle_beta 119.26
_cell_angle_gamma 90.00
_symmetry_space_group_name_H-M 'C 1 2/m 1'
_symmetry_Int_Tables_number 12
loop_
_symmetry_equiv_pos_as_xyz
'x,y,z'
'-x,-y,-z'
'-x,y,-z'
'x,-y,z'
'x+1/2,y+1/2,z'
'-x+1/2,-y+1/2,-z'
'-x+1/2,y+1/2,-z'
'x+1/2,-y+1/2,z'
loop_
_atom_site_label
_atom_site_type_symbol
_atom_site_fract_x
_atom_site_fract_y
_atom_site_fract_z
_atom_site_occupancy
Pr1 Pr 0.244 0.000 0.256 1
Pr2 Pr 0.244 0.207 0.748 1
Ag1 Ag 0.000 0.000 0.500 1
Hg1 Hg 0.000 0.500 0.000 1



Model Q:
# PBE-GGA Pr6AgHg, relaxed
# - Calculated volume: 32.10 Å³/atom
# - Mass density: 7.462 g cm⁻³
# - Total magnetic moment: 0.0 μB/f.u.
data_Pr6AgHg
_cell_length_a 5.328
_cell_length_b 5.328
_cell_length_c 18.090
_cell_angle_alpha 90.00
_cell_angle_beta 90.00
_cell_angle_gamma 90.00
_symmetry_space_group_name_H-M 'I 4/m m m'
_symmetry_Int_Tables_number 139
_symmetry_space_group_name_Hall '-I 4 2'
loop_
_atom_site_label
_atom_site_type_symbol
_atom_site_fract_x
_atom_site_fract_y
_atom_site_fract_z
_atom_site_occupancy
Pr1 Pr 0.000 0.000 0.250 1
Pr2 Pr 0.000 0.500 0.108 1
Ag1 Ag 0.000 0.000 0.000 1
Hg1 Hg 0.000 0.000 0.500 1



Name the least stable of them. model P.



Model P:
# PBE-GGA Pr3Ag2Hg4, relaxed
# - Calculated volume: 25.34 Å³/atom
# - Mass density: 10.489 g cm⁻³
# - Total magnetic moment: 0.0 μB/f.u.
data_Pr3Ag2Hg4
_cell_length_a 11.212
_cell_length_b 5.006
_cell_length_c 9.327
_cell_angle_alpha 90.00
_cell_angle_beta 119.37
_cell_angle_gamma 90.00
_symmetry_space_group_name_H-M 'C 1 2/m 1'
_symmetry_Int_Tables_number 12
loop_
_symmetry_equiv_pos_as_xyz
'x,y,z'
'-x,-y,-z'
'-x,y,-z'
'x,-y,z'
'x+1/2,y+1/2,z'
'-x+1/2,-y+1/2,-z'
'-x+1/2,y+1/2,-z'
'x+1/2,-y+1/2,z'
loop_
_atom_site_label
_atom_site_type_symbol
_atom_site_fract_x
_atom_site_fract_y
_atom_site_fract_z
_atom_site_occupancy
Pr1 Pr 0.000 0.000 0.000 1
Pr2 Pr 0.167 0.500 0.665 1
Ag1 Ag 0.108 0.500 0.277 1
Hg1 Hg 0.058 0.000 0.388 1
Hg2 Hg 0.216 0.500 0.055 1



Model Q:
# PBE-GGA Pr3Ag2Hg4, relaxed
# - Calculated volume: 25.81 Å³/atom
# - Mass density: 10.300 g cm⁻³
# - Total magnetic moment: 0.0 μB/f.u.
data_Pr3Ag2Hg4
_cell_length_a 9.490
_cell_length_b 5.320
_cell_length_c 9.289
_cell_angle_alpha 90.00
_cell_angle_beta 97.82
_cell_angle_gamma 90.00
_symmetry_space_group_name_H-M 'C 1 2/m 1'
_symmetry_Int_Tables_number 12
loop_
_symmetry_equiv_pos_as_xyz
'x,y,z'
'-x,-y,-z'
'-x,y,-z'
'x,-y,z'
'x+1/2,y+1/2,z'
'-x+1/2,-y+1/2,-z'
'-x+1/2,y+1/2,-z'
'x+1/2,-y+1/2,z'
loop_
_atom_site_label
_atom_site_type_symbol
_atom_site_fract_x
_atom_site_fract_y
_atom_site_fract_z
_atom_site_occupancy
Pr1 Pr 0.000 0.000 0.000 1
Pr2 Pr 0.124 0.500 0.720 1
Ag1 Ag 0.223 0.500 0.397 1
Hg1 Hg 0.055 0.000 0.353 1
Hg2 Hg 0.180 0.500 0.081 1



Name the least stable of them. model Q.



Model P:
# PBE-GGA Pr4AgHg3, relaxed
# - Calculated volume: 28.36 Å³/atom
# - Mass density: 9.319 g cm⁻³
# - Total magnetic moment: 1.4 μB/f.u.
data_Pr4AgHg3
_cell_length_a 5.443
_cell_length_b 5.443
_cell_length_c 15.317
_cell_angle_alpha 90.00
_cell_angle_beta 90.00
_cell_angle_gamma 90.00
_symmetry_space_group_name_H-M 'I 4/m m m'
_symmetry_Int_Tables_number 139
_symmetry_space_group_name_Hall '-I 4 2'
loop_
_atom_site_label
_atom_site_type_symbol
_atom_site_fract_x
_atom_site_fract_y
_atom_site_fract_z
_atom_site_occupancy
Pr1 Pr 0.000 0.500 0.124 1
Ag1 Ag 0.000 0.000 0.000 1
Hg1 Hg 0.000 0.000 0.251 1
Hg2 Hg 0.000 0.000 0.500 1



Model Q:
# PBE-GGA Pr4AgHg3, relaxed
# - Calculated volume: 28.94 Å³/atom
# - Mass density: 9.133 g cm⁻³
# - Total magnetic moment: 0.0 μB/f.u.
data_Pr4AgHg3
_cell_length_a 3.824
_cell_length_b 4.978
_cell_length_c 12.163
_cell_angle_alpha 90.00
_cell_angle_beta 90.00
_cell_angle_gamma 90.00
_symmetry_space_group_name_H-M 'P m m 2'
_symmetry_Int_Tables_number 25
loop_
_symmetry_equiv_pos_as_xyz
'x,y,z'
'-x,-y,z'
'-x,y,z'
'x,-y,z'
loop_
_atom_site_label
_atom_site_type_symbol
_atom_site_fract_x
_atom_site_fract_y
_atom_site_fract_z
_atom_site_occupancy
Pr1 Pr 0.000 0.000 0.000 1
Pr2 Pr 0.000 0.500 0.293 1
Pr3 Pr 0.500 0.000 0.494 1
Pr4 Pr 0.500 0.500 0.797 1
Ag1 Ag 0.500 0.000 0.223 1
Hg1 Hg 0.000 0.000 0.726 1
Hg2 Hg 0.000 0.500 0.566 1
Hg3 Hg 0.500 0.500 0.072 1



Name the least stable of them. model Q.